Record 1
# CsAu3Se5

CsAu3Se5 after structural relaxation (GGA-PBE, OQMD via LeMat-Bulk).

Cell: 5.7000 5.7000 8.1840 Å, 90.00 90.00 120.00°
With the nearest neighbours (Å) after each atom.
Atoms (fractional coordinates):
Au (0.5000, 0.0000, 0.5000)  4 Au 2.85, 2 Se 2.85
Au (0.0000, 0.5000, 0.5000)  2 Se 2.85, 4 Au 2.85
Au (0.5000, 0.5000, 0.5000)  4 Au 2.85, 2 Se 2.85
Cs (0.0000, 0.0000, 0.0000)  12 Se 3.48
Se (0.6667, 0.3333, 0.1380)  1 Se 2.26
Se (0.3333, 0.6667, 0.1380)  1 Se 2.26
Se (0.0000, 0.0000, 0.5000)  6 Au 2.85
Se (0.6667, 0.3333, 0.8620)  1 Se 2.26
Se (0.3333, 0.6667, 0.8620)  1 Se 2.26

---

Record 2
# CsAuSe

CsAuSe after structural relaxation (GGA-PBE, OQMD via LeMat-Bulk).

Cell: 7.0597 5.6291 5.6291 Å, 79.21 90.00 90.00°
With the nearest neighbours (Å) after each atom.
Atoms (fractional coordinates):
Au (0.2503, 0.0007, 0.0007)  2 Se 2.46
Au (0.7497, 0.0007, 0.0007)  2 Se 2.46
Cs (0.0000, 0.3674, 0.3674)  5 Se 3.63-3.82, 2 Au 3.64
Cs (0.5000, 0.6292, 0.6292)  5 Se 3.64-3.84, 2 Au 3.67
Se (0.5000, 0.1980, 0.1980)  2 Au 2.46
Se (0.0000, 0.8040, 0.8040)  2 Au 2.46

---

Record 3
# Cs2AuSe2

Cs2AuSe2 after structural relaxation (GGA-PBE, OQMD via LeMat-Bulk).

Cell: 4.0446 6.7273 7.2812 Å, 77.81 89.90 107.53°
With the nearest neighbours (Å) after each atom.
Atoms (fractional coordinates):
Au (0.5000, 0.0000, 0.0000)  4 Se 2.66
Cs (0.1564, 0.3157, 0.2884)  5 Se 3.59-3.72, 2 Au 3.80-3.81
Cs (0.8436, 0.6843, 0.7116)  5 Se 3.59-3.72, 2 Au 3.80-3.81
Se (0.8940, 0.7893, 0.1934)  2 Au 2.66
Se (0.1060, 0.2107, 0.8066)  2 Au 2.66

---

Record 4
# CsSiAuSe3

CsSiAuSe3 after structural relaxation (GGA-PBE, OQMD via LeMat-Bulk).

Cell: 8.9821 8.9821 10.3063 Å, 90.00 90.00 156.12°
With the nearest neighbours (Å) after each atom.
Atoms (fractional coordinates):
Au (0.3933, 0.6067, 0.2500)  2 Se 2.43
Au (0.6067, 0.3933, 0.7500)  2 Se 2.43
Cs (0.7224, 0.2776, 0.2500)  4 Se 3.47-3.72, 2 Au 3.53, 2 Cs 3.72
Cs (0.2776, 0.7224, 0.7500)  4 Se 3.47-3.72, 2 Au 3.53, 2 Cs 3.72
Se (0.4000, 0.6000, 0.0144)  1 Au 2.43, 2 Si 2.56
Se (0.0388, 0.9612, 0.2500)  2 Si 2.67
Se (0.4000, 0.6000, 0.4856)  1 Au 2.43, 2 Si 2.56
Se (0.6000, 0.4000, 0.5144)  1 Au 2.43, 2 Si 2.56
Se (0.9612, 0.0388, 0.7500)  2 Si 2.67
Se (0.6000, 0.4000, 0.9856)  1 Au 2.43, 2 Si 2.56
Si (0.0000, 0.0000, 0.0000)  6 Se 2.56-2.67
Si (0.0000, 0.0000, 0.5000)  6 Se 2.56-2.67

---

Record 5
# CsSiTeAuSe2

CsSiTeAuSe2 after structural relaxation (GGA-PBE, OQMD via LeMat-Bulk).

Cell: 9.2160 9.2160 10.8406 Å, 90.00 90.00 157.05°
With the nearest neighbours (Å) after each atom.
Atoms (fractional coordinates):
Au (0.6019, 0.3981, 0.2500)  2 Se 2.46
Au (0.3981, 0.6019, 0.7500)  2 Se 2.46
Cs (0.2702, 0.7298, 0.2500)  2 Au 3.55, 2 Cs 3.67, 2 Se 3.78, 2 Te 3.83
Cs (0.7298, 0.2702, 0.7500)  2 Au 3.55, 2 Cs 3.67, 2 Se 3.78, 2 Te 3.83
Se (0.6002, 0.3998, 0.0234)  1 Au 2.46, 2 Si 2.59
Se (0.6002, 0.3998, 0.4766)  1 Au 2.46, 2 Si 2.59
Se (0.3998, 0.6002, 0.5234)  1 Au 2.46, 2 Si 2.59
Se (0.3998, 0.6002, 0.9766)  1 Au 2.46, 2 Si 2.59
Si (0.0000, 0.0000, 0.0000)  4 Se 2.59, 2 Te 2.82
Si (0.0000, 0.0000, 0.5000)  4 Se 2.59, 2 Te 2.82
Te (0.9564, 0.0436, 0.2500)  2 Si 2.82
Te (0.0436, 0.9564, 0.7500)  2 Si 2.82

---

Record 6
# CsSmAuSe3

CsSmAuSe3 after structural relaxation (GGA-PBE, OQMD via LeMat-Bulk).

Cell: 8.4871 8.4871 10.9078 Å, 90.00 90.00 151.52°
With the nearest neighbours (Å) after each atom.
Atoms (fractional coordinates):
Au (0.0347, 0.9653, 0.2500)  4 Se 2.60-2.67
Au (0.9653, 0.0347, 0.7500)  4 Se 2.60-2.67
Cs (0.7515, 0.2485, 0.2500)  8 Se 3.65-3.89
Cs (0.2485, 0.7515, 0.7500)  8 Se 3.65-3.89
Se (0.1220, 0.8780, 0.0516)  1 Au 2.60
Se (0.4335, 0.5665, 0.2500)  2 Au 2.67, 2 Sm 2.94
Se (0.1220, 0.8780, 0.4484)  1 Au 2.60
Se (0.8780, 0.1220, 0.5516)  1 Au 2.60
Se (0.5665, 0.4335, 0.7500)  2 Au 2.67, 2 Sm 2.94
Se (0.8780, 0.1220, 0.9484)  1 Au 2.60
Sm (0.5000, 0.5000, 0.0000)  6 Se 2.94-2.95
Sm (0.5000, 0.5000, 0.5000)  6 Se 2.94-2.95

---

Record 7
# CsSnAuSe3

CsSnAuSe3 after structural relaxation (GGA-PBE, OQMD via LeMat-Bulk).

Cell: 4.0726 9.0609 10.7015 Å, 90.00 90.00 77.01°
With the nearest neighbours (Å) after each atom.
Atoms (fractional coordinates):
Au (0.6079, 0.7843, 0.2500)  2 Se 2.43
Au (0.3921, 0.2157, 0.7500)  2 Se 2.43
Cs (0.2747, 0.4506, 0.2500)  4 Se 3.57-3.73, 2 Au 3.58
Cs (0.7253, 0.5494, 0.7500)  4 Se 3.57-3.73, 2 Au 3.58
Se (0.6096, 0.7809, 0.0232)  1 Au 2.43
Se (0.9519, 0.0963, 0.2500)  2 Sn 2.81
Se (0.6096, 0.7809, 0.4768)  1 Au 2.43
Se (0.3904, 0.2191, 0.5232)  1 Au 2.43
Se (0.0481, 0.9037, 0.7500)  2 Sn 2.81
Se (0.3904, 0.2191, 0.9768)  1 Au 2.43
Sn (0.0000, 0.0000, 0.0000)  6 Se 2.81-2.82
Sn (0.0000, 0.0000, 0.5000)  6 Se 2.81-2.82

---

Record 8
# CsSnTe2AuSe

CsSnTe2AuSe after structural relaxation (GGA-PBE, OQMD via LeMat-Bulk).

Cell: 8.5821 8.5821 11.7153 Å, 90.00 90.00 151.47°
With the nearest neighbours (Å) after each atom.
Atoms (fractional coordinates):
Au (0.0636, 0.9364, 0.2500)  2 Se 2.69, 2 Te 2.72
Au (0.9364, 0.0636, 0.7500)  2 Se 2.69, 2 Te 2.72
Cs (0.7665, 0.2335, 0.2500)  6 Te 3.79-4.03, 2 Se 3.91, 2 Au 3.98, 2 Cs 4.23
Cs (0.2335, 0.7665, 0.7500)  6 Te 3.79-4.03, 2 Se 3.91, 2 Au 3.98, 2 Cs 4.23
Se (0.4639, 0.5361, 0.2500)  2 Au 2.69, 2 Sn 2.99
Se (0.5361, 0.4639, 0.7500)  2 Au 2.69, 2 Sn 2.99
Sn (0.5000, 0.5000, 0.0000)  2 Se 2.99, 4 Te 3.01
Sn (0.5000, 0.5000, 0.5000)  2 Se 2.99, 4 Te 3.01
Te (0.1265, 0.8735, 0.0355)  1 Au 2.72, 2 Sn 3.01
Te (0.1265, 0.8735, 0.4645)  1 Au 2.72, 2 Sn 3.01
Te (0.8735, 0.1265, 0.5355)  1 Au 2.72, 2 Sn 3.01
Te (0.8735, 0.1265, 0.9645)  1 Au 2.72, 2 Sn 3.01

---

Record 9
# CsTaAuSe3

CsTaAuSe3 after structural relaxation (GGA-PBE, OQMD via LeMat-Bulk).

Cell: 8.4983 8.4983 10.2363 Å, 90.00 90.00 154.00°
With the nearest neighbours (Å) after each atom.
Atoms (fractional coordinates):
Au (0.5457, 0.4543, 0.2500)  4 Se 2.53-2.66
Au (0.4543, 0.5457, 0.7500)  4 Se 2.53-2.66
Cs (0.2422, 0.7578, 0.2500)  8 Se 3.67-3.73, 2 Au 3.77, 2 Cs 3.82
Cs (0.7578, 0.2422, 0.7500)  8 Se 3.67-3.73, 2 Au 3.77, 2 Cs 3.82
Se (0.6120, 0.3880, 0.0273)  1 Au 2.53, 2 Ta 2.68
Se (0.9341, 0.0659, 0.2500)  2 Au 2.66, 2 Ta 2.78
Se (0.6120, 0.3880, 0.4727)  1 Au 2.53, 2 Ta 2.68
Se (0.3880, 0.6120, 0.5273)  1 Au 2.53, 2 Ta 2.68
Se (0.0659, 0.9341, 0.7500)  2 Au 2.66, 2 Ta 2.78
Se (0.3880, 0.6120, 0.9727)  1 Au 2.53, 2 Ta 2.68
Ta (0.0000, 0.0000, 0.0000)  6 Se 2.68-2.78
Ta (0.0000, 0.0000, 0.5000)  6 Se 2.68-2.78

---

Record 10
# CsTcAuSe3

CsTcAuSe3 after structural relaxation (GGA-PBE, OQMD via LeMat-Bulk).

Cell: 8.4032 8.4032 10.2598 Å, 90.00 90.00 153.49°
With the nearest neighbours (Å) after each atom.
Atoms (fractional coordinates):
Au (0.0531, 0.9469, 0.2500)  4 Se 2.52-2.67
Au (0.9469, 0.0531, 0.7500)  4 Se 2.52-2.67
Cs (0.7453, 0.2547, 0.2500)  8 Se 3.67-3.78, 2 Au 3.69, 2 Cs 3.85
Cs (0.2547, 0.7453, 0.7500)  8 Se 3.67-3.78, 2 Au 3.69, 2 Cs 3.85
Se (0.1079, 0.8921, 0.0204)  1 Au 2.52, 2 Tc 2.62
Se (0.4405, 0.5595, 0.2500)  2 Au 2.67, 2 Tc 2.74
Se (0.1079, 0.8921, 0.4796)  1 Au 2.52, 2 Tc 2.62
Se (0.8921, 0.1079, 0.5204)  1 Au 2.52, 2 Tc 2.62
Se (0.5595, 0.4405, 0.7500)  2 Au 2.67, 2 Tc 2.74
Se (0.8921, 0.1079, 0.9796)  1 Au 2.52, 2 Tc 2.62
Tc (0.5000, 0.5000, 0.0000)  6 Se 2.62-2.74
Tc (0.5000, 0.5000, 0.5000)  6 Se 2.62-2.74

---

Record 11
# CsZrTe2AuSe

CsZrTe2AuSe after structural relaxation (GGA-PBE, OQMD via LeMat-Bulk).

Cell: 8.7889 8.7889 10.7296 Å, 90.00 90.00 152.62°
With the nearest neighbours (Å) after each atom.
Atoms (fractional coordinates):
Au (0.5391, 0.4609, 0.2500)  2 Se 2.65, 2 Te 2.71
Au (0.4609, 0.5391, 0.7500)  2 Se 2.65, 2 Te 2.71
Cs (0.2522, 0.7478, 0.2500)  6 Te 3.74-3.83, 2 Se 3.87, 2 Cs 4.16
Cs (0.7478, 0.2522, 0.7500)  6 Te 3.74-3.83, 2 Se 3.87, 2 Cs 4.16
Se (0.9430, 0.0570, 0.2500)  2 Au 2.65, 2 Zr 2.85
Se (0.0570, 0.9430, 0.7500)  2 Au 2.65, 2 Zr 2.85
Te (0.6213, 0.3787, 0.0340)  1 Au 2.71, 2 Zr 2.96
Te (0.6213, 0.3787, 0.4660)  1 Au 2.71, 2 Zr 2.96
Te (0.3787, 0.6213, 0.5340)  1 Au 2.71, 2 Zr 2.96
Te (0.3787, 0.6213, 0.9660)  1 Au 2.71, 2 Zr 2.96
Zr (0.0000, 0.0000, 0.0000)  2 Se 2.85, 4 Te 2.96
Zr (0.0000, 0.0000, 0.5000)  2 Se 2.85, 4 Te 2.96

---

Record 12
# CsWAuSe3

CsWAuSe3 after structural relaxation (GGA-PBE, OQMD via LeMat-Bulk).

Cell: 8.3694 8.3694 10.2351 Å, 90.00 90.00 152.60°
With the nearest neighbours (Å) after each atom.
Atoms (fractional coordinates):
Au (0.0485, 0.9515, 0.2500)  4 Se 2.51-2.68
Au (0.9515, 0.0485, 0.7500)  4 Se 2.51-2.68
Cs (0.7423, 0.2577, 0.2500)  8 Se 3.71-3.76, 2 Au 3.72, 2 Cs 3.96
Cs (0.2577, 0.7423, 0.7500)  8 Se 3.71-3.76, 2 Au 3.72, 2 Cs 3.96
Se (0.1072, 0.8928, 0.0227)  1 Au 2.51, 2 W 2.65
Se (0.4375, 0.5625, 0.2500)  2 Au 2.68, 2 W 2.75
Se (0.1072, 0.8928, 0.4773)  1 Au 2.51, 2 W 2.65
Se (0.8928, 0.1072, 0.5227)  1 Au 2.51, 2 W 2.65
Se (0.5625, 0.4375, 0.7500)  2 Au 2.68, 2 W 2.75
Se (0.8928, 0.1072, 0.9773)  1 Au 2.51, 2 W 2.65
W (0.5000, 0.5000, 0.0000)  6 Se 2.65-2.75
W (0.5000, 0.5000, 0.5000)  6 Se 2.65-2.75

---

Number 1: raw total energy -28.30 eV per formula unit. Number 2: raw total energy -9.95 eV per formula unit. Number 3: raw total energy -15.56 eV per formula unit. Number 4: raw total energy -22.03 eV per formula unit. Number 5: raw total energy -21.60 eV per formula unit. Number 6: raw total energy -26.06 eV per formula unit. Number 7: raw total energy -21.41 eV per formula unit. Number 8: raw total energy -20.08 eV per formula unit. Number 9: raw total energy -29.86 eV per formula unit. Number 10: raw total energy -26.67 eV per formula unit. Number 11: raw total energy -27.45 eV per formula unit. Number 12: raw total energy -28.96 eV per formula unit.